1.
Density functional theory data (PBE) for Tb11Y4Tm9 after structural relaxation.

a = 3.6294 Å, b = 15.0742 Å, c = 15.0742 Å
α = 113.16°, β = 90.00°, γ = 90.00°
With the nearest neighbours (Å) after each atom.
Fractional coordinates of all 24 atoms:
Tm 0.5000 0.6311 0.1648  3 Tm 3.39-3.63, 1 Y 3.45, 8 Tb 3.47-3.65
Tm 0.5000 0.1648 0.6311  3 Tm 3.39-3.63, 1 Y 3.45, 8 Tb 3.47-3.65
Tm 0.5000 0.8352 0.3689  3 Tm 3.39-3.63, 1 Y 3.45, 8 Tb 3.47-3.65
Tm 0.5000 0.2130 0.0668  1 Y 3.46, 8 Tb 3.47-3.68, 3 Tm 3.63-3.68
Tm 0.5000 0.9332 0.7870  1 Y 3.46, 8 Tb 3.47-3.68, 3 Tm 3.63-3.68
Tm 0.5000 0.5000 0.5000  4 Y 3.62, 2 Tm 3.63, 8 Tb 3.81-3.94
Tm 0.5000 0.3689 0.8352  3 Tm 3.39-3.63, 1 Y 3.45, 8 Tb 3.47-3.65
Tm 0.5000 0.0668 0.2130  1 Y 3.46, 8 Tb 3.47-3.68, 3 Tm 3.63-3.68
Tm 0.5000 0.7870 0.9332  1 Y 3.46, 8 Tb 3.47-3.68, 3 Tm 3.63-3.68
Tb 0.0000 0.0000 0.0000  8 Tm 3.47, 2 Tb 3.63
Tb 0.0000 0.6330 0.3670  4 Y 3.26, 4 Tm 3.54, 2 Tb 3.63
Tb 0.0000 0.3670 0.6330  4 Y 3.26, 4 Tm 3.54, 2 Tb 3.63
Tb 0.0000 0.1607 0.8393  5 Tb 3.63-4.04, 8 Tm 3.65-3.68
Tb 0.0000 0.5945 0.9574  2 Y 3.37, 6 Tm 3.47-3.65, 4 Tb 3.56-3.76
Tb 0.0000 0.0426 0.4055  2 Y 3.37, 6 Tm 3.47-3.65, 4 Tb 3.56-3.76
Tb 0.0000 0.2892 0.2892  4 Y 3.25, 4 Tm 3.58, 2 Tb 3.63
Tb 0.0000 0.4055 0.0426  2 Y 3.37, 6 Tm 3.47-3.65, 4 Tb 3.56-3.76
Tb 0.0000 0.9574 0.5945  2 Y 3.37, 6 Tm 3.47-3.65, 4 Tb 3.56-3.76
Tb 0.0000 0.7108 0.7108  4 Y 3.25, 4 Tm 3.58, 2 Tb 3.63
Tb 0.0000 0.8393 0.1607  5 Tb 3.63-4.04, 8 Tm 3.65-3.68
Y 0.5000 0.2433 0.4448  6 Tb 3.25-3.37, 3 Tm 3.45-3.62, 2 Y 3.63
Y 0.5000 0.5552 0.7567  6 Tb 3.25-3.37, 3 Tm 3.45-3.62, 2 Y 3.63
Y 0.5000 0.4448 0.2433  6 Tb 3.25-3.37, 3 Tm 3.45-3.62, 2 Y 3.63
Y 0.5000 0.7567 0.5552  6 Tb 3.25-3.37, 3 Tm 3.45-3.62, 2 Y 3.63

Calculated values
Formation energy from the elements ... 0.0631 eV per atom
Total magnetization ... 0.013 Bohr magnetons per cell
Crystal system ... orthorhombic
Total DFT energy (no corrections) ... -4.81 eV per atom



2.
Density functional theory data (PBE) for Tb2YTm after structural relaxation.

a = 3.5735 Å, b = 3.5735 Å, c = 11.6184 Å
α = 81.15°, β = 81.15°, γ = 60.00°
With the nearest neighbours (Å) after each atom.
Fractional coordinates of all 4 atoms:
Y 0.5003 0.5003 0.4992  6 Tb 3.53-3.55, 6 Y 3.57
Tm 0.6666 0.6666 0.0003  6 Tb 3.51, 6 Tm 3.57
Tb 0.2505 0.2505 0.2486  3 Tm 3.51, 3 Y 3.53, 6 Tb 3.57
Tb 0.0827 0.0827 0.7519  3 Tm 3.51, 3 Y 3.55, 6 Tb 3.57

Calculated values
Distance to the lowest polymorph of the same formula ... 0.1 kJ/mol of atoms
Formation energy from the elements ... 0.0121 eV per atom
Total magnetization ... 0.000 Bohr magnetons per cell
Crystal system ... trigonal
Total DFT energy (no corrections) ... -5.04 eV per atom



3.
Density functional theory data (PBE) for Tb5Y3Tm3 after structural relaxation.

a = 3.4329 Å, b = 11.0760 Å, c = 11.0760 Å
α = 120.00°, β = 90.00°, γ = 90.00°
With the nearest neighbours (Å) after each atom.
Fractional coordinates of all 11 atoms:
Tb 0.5000 0.1598 0.1598  2 Tb 3.06, 2 Tm 3.22, 2 Y 3.28
Tb 0.5000 0.6667 0.3333  2 Tb 3.43, 3 Y 3.65, 6 Tm 3.78
Tb 0.5000 0.3333 0.6667  2 Tb 3.43, 3 Y 3.65, 6 Tm 3.78
Tb 0.5000 0.0000 0.8402  2 Tb 3.06, 2 Tm 3.22, 2 Y 3.28
Tb 0.5000 0.8402 0.0000  2 Tb 3.06, 2 Tm 3.22, 2 Y 3.28
Tm 0.0000 0.0000 0.5948  2 Tb 3.22, 2 Y 3.29, 2 Tm 3.43
Tm 0.0000 0.5948 0.0000  2 Tb 3.22, 2 Y 3.29, 2 Tm 3.43
Tm 0.0000 0.4052 0.4052  2 Tb 3.22, 2 Y 3.29, 2 Tm 3.43
Y 0.5000 0.6583 0.6583  4 Tb 3.28-3.65, 2 Tm 3.29, 2 Y 3.43
Y 0.5000 0.0000 0.3417  4 Tb 3.28-3.65, 2 Tm 3.29, 2 Y 3.43
Y 0.5000 0.3417 0.0000  4 Tb 3.28-3.65, 2 Tm 3.29, 2 Y 3.43

Calculated values
Formation energy from the elements ... 0.3538 eV per atom
Total magnetization ... 0.000 Bohr magnetons per cell
Crystal system ... hexagonal
Total DFT energy (no corrections) ... -4.73 eV per atom



4.
Density functional theory data (PBE) for Tb3Y3Tm after structural relaxation.

a = 5.6630 Å, b = 9.5884 Å, c = 9.5889 Å
α = 119.98°, β = 90.00°, γ = 90.00°
With the nearest neighbours (Å) after each atom.
Fractional coordinates of all 14 atoms:
Y 0.2500 0.3797 0.9049  5 Tb 3.51-3.64, 3 Tm 3.52-3.63, 4 Y 3.53-3.63
Y 0.2500 0.0950 0.4748  5 Tb 3.51-3.64, 3 Tm 3.52-3.63, 4 Y 3.53-3.63
Y 0.2500 0.5252 0.6203  5 Tb 3.51-3.64, 3 Tm 3.52-3.63, 4 Y 3.53-3.63
Y 0.7500 0.6203 0.0951  5 Tb 3.51-3.64, 3 Tm 3.52-3.63, 4 Y 3.53-3.63
Y 0.7500 0.4748 0.3797  5 Tb 3.51-3.64, 3 Tm 3.52-3.63, 4 Y 3.53-3.63
Y 0.7500 0.9050 0.5252  5 Tb 3.51-3.64, 3 Tm 3.52-3.63, 4 Y 3.53-3.63
Tm 0.7500 0.3333 0.6666  9 Y 3.52-3.63, 3 Tb 3.62
Tm 0.2500 0.6667 0.3334  9 Y 3.52-3.63, 3 Tb 3.62
Tb 0.2500 0.9515 0.7615  5 Y 3.51-3.64, 6 Tb 3.52-3.63, 1 Tm 3.62
Tb 0.7500 0.7614 0.8099  5 Y 3.51-3.64, 6 Tb 3.52-3.63, 1 Tm 3.62
Tb 0.7500 0.1901 0.9515  5 Y 3.51-3.64, 6 Tb 3.52-3.63, 1 Tm 3.62
Tb 0.2500 0.2386 0.1901  5 Y 3.51-3.64, 6 Tb 3.52-3.63, 1 Tm 3.62
Tb 0.7500 0.0485 0.2385  5 Y 3.51-3.64, 6 Tb 3.52-3.63, 1 Tm 3.62
Tb 0.2500 0.8099 0.0485  5 Y 3.51-3.64, 6 Tb 3.52-3.63, 1 Tm 3.62

Calculated values
Distance to the lowest polymorph of the same formula ... 0.0 kJ/mol of atoms
Formation energy from the elements ... 0.0081 eV per atom
Total magnetization ... 0.008 Bohr magnetons per cell
Crystal system ... hexagonal
Total DFT energy (no corrections) ... -5.39 eV per atom



5.
Density functional theory data (PBE) for Tb2Y7Tm after structural relaxation.

a = 5.5343 Å, b = 9.2366 Å, c = 9.2366 Å
α = 123.37°, β = 90.00°, γ = 90.00°
With the nearest neighbours (Å) after each atom.
Fractional coordinates of all 10 atoms:
Y 0.5000 0.7104 0.9357  2 Y 3.10-3.37, 2 Tb 3.19-3.37
Y 0.5000 0.2896 0.0643  2 Y 3.10-3.37, 2 Tb 3.19-3.37
Y 0.5000 0.5000 0.5000  2 Tb 3.31, 4 Y 3.37
Y 0.5000 0.9358 0.7104  2 Y 3.10-3.37, 2 Tb 3.19-3.37
Y 0.0000 0.7871 0.2129  2 Tb 3.08
Y 0.0000 0.2129 0.7871  2 Tb 3.08
Y 0.5000 0.0642 0.2896  2 Y 3.10-3.37, 2 Tb 3.19-3.37
Tb 0.5000 0.7035 0.2965  7 Y 3.08-3.37
Tb 0.5000 0.2965 0.7035  7 Y 3.08-3.37
Tm 0.0000 0.0000 0.0000  10 Y 3.46-3.66

Calculated values
Distance to the lowest polymorph of the same formula ... 56.4 kJ/mol of atoms
Formation energy from the elements ... 0.7003 eV per atom
Total magnetization ... 0.000 Bohr magnetons per cell
Crystal system ... orthorhombic
Total DFT energy (no corrections) ... -5.20 eV per atom



6.
Density functional theory data (PBE) for Tb7Y16Tm6 after structural relaxation.

a = 11.1382 Å, b = 11.1382 Å, c = 11.1382 Å
α = 60.00°, β = 60.00°, γ = 60.00°
With the nearest neighbours (Å) after each atom.
Fractional coordinates of all 29 atoms:
Y 0.8761 0.3717 0.8761  4 Tb 3.38-3.42, 3 Tm 3.57, 3 Y 3.61
Y 0.3500 0.3500 0.3500  3 Tb 3.25, 3 Tm 3.58, 3 Y 3.61
Y 0.8761 0.8761 0.3717  4 Tb 3.38-3.42, 3 Tm 3.57, 3 Y 3.61
Y 0.6283 0.1239 0.1239  4 Tb 3.38-3.42, 3 Tm 3.57, 3 Y 3.61
Y 0.1239 0.1239 0.6283  4 Tb 3.38-3.42, 3 Tm 3.57, 3 Y 3.61
Y 0.6500 0.6500 0.0500  3 Tb 3.25, 3 Tm 3.58, 3 Y 3.61
Y 0.3500 0.9500 0.3500  3 Tb 3.25, 3 Tm 3.58, 3 Y 3.61
Y 0.3500 0.3500 0.9500  3 Tb 3.25, 3 Tm 3.58, 3 Y 3.61
Y 0.3717 0.8761 0.8761  4 Tb 3.38-3.42, 3 Tm 3.57, 3 Y 3.61
Y 0.1239 0.1239 0.1239  4 Tb 3.38-3.42, 3 Tm 3.57, 3 Y 3.61
Y 0.8761 0.8761 0.8761  4 Tb 3.38-3.42, 3 Tm 3.57, 3 Y 3.61
Y 0.9500 0.3500 0.3500  3 Tb 3.25, 3 Tm 3.58, 3 Y 3.61
Y 0.0500 0.6500 0.6500  3 Tb 3.25, 3 Tm 3.58, 3 Y 3.61
Y 0.1239 0.6283 0.1239  4 Tb 3.38-3.42, 3 Tm 3.57, 3 Y 3.61
Y 0.6500 0.0500 0.6500  3 Tb 3.25, 3 Tm 3.58, 3 Y 3.61
Y 0.6500 0.6500 0.6500  3 Tb 3.25, 3 Tm 3.58, 3 Y 3.61
Tb 0.5000 0.0000 0.5000  8 Y 3.25-3.42
Tb 0.0000 0.0000 0.0000  8 Y 3.38
Tb 0.0000 0.0000 0.5000  8 Y 3.25-3.42
Tb 0.0000 0.5000 0.0000  8 Y 3.25-3.42
Tb 0.5000 0.0000 0.0000  8 Y 3.25-3.42
Tb 0.0000 0.5000 0.5000  8 Y 3.25-3.42
Tb 0.5000 0.5000 0.0000  8 Y 3.25-3.42
Tm 0.7321 0.2679 0.2679  8 Y 3.57-3.58, 4 Tb 3.95
Tm 0.7321 0.2679 0.7321  8 Y 3.57-3.58, 4 Tb 3.95
Tm 0.2679 0.7321 0.2679  8 Y 3.57-3.58, 4 Tb 3.95
Tm 0.2679 0.2679 0.7321  8 Y 3.57-3.58, 4 Tb 3.95
Tm 0.7321 0.7321 0.2679  8 Y 3.57-3.58, 4 Tb 3.95
Tm 0.2679 0.7321 0.7321  8 Y 3.57-3.58, 4 Tb 3.95

Calculated values
Formation energy from the elements ... 0.2588 eV per atom
Total magnetization ... 0.001 Bohr magnetons per cell
Crystal system ... cubic
Total DFT energy (no corrections) ... -5.35 eV per atom